Entry from Alexandria via LeMat-Bulk: a relaxed Nd12Co2Bi5 crystal (PBE-GGA).

Summary:
Uncorrected energy   -5.1631 eV per atom

a b c (Å): 7.7495 9.8215 9.9628
angles (deg): 104.99 90.00 113.24
Last column: nearest neighbours and their distance in Å.
Sites, in units of the cell vectors:
Co  0.3061  0.0000  0.0000  6 Nd 2.64-2.91
Co  0.6939  0.0000  0.0000  6 Nd 2.64-2.91
Bi  0.7058  0.4116  0.3599  7 Nd 3.22-3.52
Bi  0.3051  0.6102  0.1652  7 Nd 3.20-3.44
Bi  0.2942  0.5884  0.6401  7 Nd 3.22-3.52
Bi  0.0000  0.0000  0.5000  6 Nd 3.18-3.30
Bi  0.6949  0.3898  0.8348  7 Nd 3.20-3.44
Nd  0.4972  0.9944  0.7627  2 Co 2.79
Nd  0.9987  0.9975  0.1681  2 Co 2.91
Nd  0.6013  0.7113  0.4338  4 Bi 3.18-3.26
Nd  0.1100  0.7113  0.4338  4 Bi 3.18-3.26
Nd  0.0013  0.0025  0.8319  2 Co 2.91
Nd  0.5028  0.0056  0.2373  2 Co 2.79
Nd  0.4117  0.3021  0.0756  1 Co 2.64
Nd  0.1096  0.6979  0.9244  1 Co 2.64
Nd  0.8904  0.3021  0.0756  1 Co 2.64
Nd  0.5883  0.6979  0.9244  1 Co 2.64
Nd  0.8900  0.2887  0.5662  4 Bi 3.18-3.26
Nd  0.3987  0.2887  0.5662  4 Bi 3.18-3.26

***

Entry from Alexandria via LeMat-Bulk: a relaxed Nd3Co3Bi crystal (PBE-GGA).

Summary:
Uncorrected energy   -5.9118 eV per atom

a b c (Å): 4.2479 9.5844 9.5844
angles (deg): 120.00 90.00 90.00
Last column: nearest neighbours and their distance in Å.
Sites, in units of the cell vectors:
Co  0.2500  0.8672  0.0148  6 Co 2.34-2.52
Co  0.7500  0.0148  0.1476  6 Co 2.34-2.52
Co  0.7500  0.8524  0.8672  6 Co 2.34-2.52
Co  0.2500  0.1476  0.1328  6 Co 2.34-2.52
Co  0.2500  0.9852  0.8524  6 Co 2.34-2.52
Co  0.7500  0.1328  0.9852  6 Co 2.34-2.52
Bi  0.2500  0.6667  0.3333  9 Nd 3.38-3.67
Bi  0.7500  0.3333  0.6667  9 Nd 3.38-3.67
Nd  0.2500  0.6181  0.6894  4 Co 2.83-3.05
Nd  0.2500  0.3106  0.9287  4 Co 2.83-3.05
Nd  0.7500  0.9287  0.6181  4 Co 2.83-3.05
Nd  0.2500  0.0713  0.3819  4 Co 2.83-3.05
Nd  0.7500  0.6894  0.0713  4 Co 2.83-3.05
Nd  0.7500  0.3819  0.3106  4 Co 2.83-3.05

***

Entry from Alexandria via LeMat-Bulk: a relaxed Nd12CoBi6 crystal (PBE-GGA).

Summary:
Uncorrected energy   -5.0896 eV per atom

a b c (Å): 8.9127 8.9127 8.9127
angles (deg): 99.27 99.27 99.27
Last column: nearest neighbours and their distance in Å.
Sites, in units of the cell vectors:
Nd  0.6923  0.9466  0.0043  1 Co 2.71
Nd  0.5498  0.1969  0.4187  4 Bi 3.21-3.41
Nd  0.5813  0.4502  0.8031  4 Bi 3.21-3.41
Nd  0.9466  0.0043  0.6923  1 Co 2.71
Nd  0.8031  0.5813  0.4502  4 Bi 3.21-3.41
Nd  0.4187  0.5498  0.1969  4 Bi 3.21-3.41
Nd  0.0534  0.9957  0.3077  1 Co 2.71
Nd  0.4502  0.8031  0.5813  4 Bi 3.21-3.41
Nd  0.0043  0.6923  0.9466  1 Co 2.71
Nd  0.9957  0.3077  0.0534  1 Co 2.71
Nd  0.3077  0.0534  0.9957  1 Co 2.71
Nd  0.1969  0.4187  0.5498  4 Bi 3.21-3.41
Bi  0.3134  0.1198  0.6480  7 Nd 3.21-3.41
Bi  0.3520  0.6866  0.8802  7 Nd 3.21-3.41
Bi  0.1198  0.6480  0.3134  7 Nd 3.21-3.41
Bi  0.6866  0.8802  0.3520  7 Nd 3.21-3.41
Bi  0.8802  0.3520  0.6866  7 Nd 3.21-3.41
Bi  0.6480  0.3134  0.1198  7 Nd 3.21-3.41
Co  0.0000  0.0000  0.0000  6 Nd 2.71

***

Entry from Alexandria via LeMat-Bulk: a relaxed Nd4CoBi2 crystal (PBE-GGA).

Summary:
Uncorrected energy   -5.3555 eV per atom

a b c (Å): 5.0515 5.0515 9.3361
angles (deg): 105.70 105.70 90.00
Last column: nearest neighbours and their distance in Å.
Sites, in units of the cell vectors:
Nd  0.5000  0.0000  0.0000  2 Co 2.53
Nd  0.8308  0.8308  0.6615  1 Co 2.92
Nd  0.1692  0.1692  0.3385  1 Co 2.92
Nd  0.0000  0.5000  0.0000  2 Co 2.53
Bi  0.3590  0.3590  0.7180  9 Nd 3.27-3.61
Bi  0.6410  0.6410  0.2820  9 Nd 3.27-3.61
Co  0.0000  0.0000  0.0000  4 Nd 2.53

***

Entry from Alexandria via LeMat-Bulk: a relaxed Nd5Co2Bi crystal (PBE-GGA).

Summary:
Uncorrected energy   -5.5161 eV per atom

a b c (Å): 7.9289 7.9289 8.9175
angles (deg): 116.40 116.40 90.00
Last column: nearest neighbours and their distance in Å.
Sites, in units of the cell vectors:
Nd  0.4749  0.2879  0.2628  3 Co 2.92-2.98
Nd  0.2879  0.7879  0.2628  3 Co 2.92-2.98
Nd  0.0000  0.0000  0.0000  4 Co 3.06
Nd  0.5251  0.7121  0.7372  3 Co 2.92-2.98
Nd  0.9749  0.4749  0.2628  3 Co 2.92-2.98
Nd  0.5000  0.5000  0.0000  4 Co 3.06
Nd  0.7121  0.2121  0.7372  3 Co 2.92-2.98
Nd  0.0251  0.5251  0.7372  3 Co 2.92-2.98
Nd  0.2121  0.0251  0.7372  3 Co 2.92-2.98
Nd  0.7879  0.9749  0.2628  3 Co 2.92-2.98
Co  0.3603  0.8603  0.0000  8 Nd 2.92-3.06, 1 Co 3.13
Co  0.8603  0.6397  0.0000  8 Nd 2.92-3.06, 1 Co 3.13
Co  0.1397  0.3603  0.0000  8 Nd 2.92-3.06, 1 Co 3.13
Co  0.6397  0.1397  0.0000  8 Nd 2.92-3.06, 1 Co 3.13
Bi  0.2500  0.2500  0.5000  10 Nd 3.42-3.47
Bi  0.7500  0.7500  0.5000  10 Nd 3.42-3.47

***

Entry from Alexandria via LeMat-Bulk: a relaxed Nd4CoBi2 crystal (PBE-GGA).

Summary:
Uncorrected energy   -5.3355 eV per atom

a b c (Å): 6.8480 6.8051 9.8170
angles (deg): 90.00 110.83 90.00
Last column: nearest neighbours and their distance in Å.
Sites, in units of the cell vectors:
Nd  0.4733  0.4973  0.2396  1 Co 2.64
Nd  0.5267  0.9973  0.7604  1 Co 2.64
Nd  0.4733  0.0027  0.2396  1 Co 2.64
Nd  0.9159  0.2500  0.1096  1 Co 2.59
Nd  0.5267  0.5027  0.7604  1 Co 2.64
Nd  0.0841  0.7500  0.8904  1 Co 2.59
Nd  0.8833  0.2500  0.5869  1 Co 2.52
Nd  0.1167  0.7500  0.4131  1 Co 2.52
Bi  0.7391  0.7500  0.0706  1 Co 2.70
Bi  0.2609  0.2500  0.9294  1 Co 2.70
Bi  0.2696  0.2500  0.4512  8 Nd 3.34-3.54
Bi  0.7304  0.7500  0.5488  8 Nd 3.34-3.54
Co  0.8398  0.2500  0.8316  4 Nd 2.52-2.64, 1 Bi 2.70
Co  0.1602  0.7500  0.1684  4 Nd 2.52-2.64, 1 Bi 2.70

***

- Number 2 is which compound?
  Nd3Co3Bi